Here is crystalline Pr4Se5S at its relaxed geometry from Alexandria. Energies are from PBE.

Cell and atoms, written as CIF:
```
data_Pr4Se5S
_chemical_formula_sum 'Pr8 Se10 S2'
_space_group_name_H-M_alt 'I m m m'
_space_group_IT_number 71
_space_group_name_Hall '-I 2 2'
_cell_length_a 4.2910
_cell_length_b 8.0127
_cell_length_c 17.9221
_cell_angle_alpha 90.00
_cell_angle_beta 90.00
_cell_angle_gamma 90.00
loop_
_atom_site_label
_atom_site_type_symbol
_atom_site_fract_x
_atom_site_fract_y
_atom_site_fract_z
_atom_site_occupancy
Pr1 Pr 0.0000 0.0000 0.2129 1
Pr2 Pr 0.0000 0.2536 0.5000 1
Se1 Se 0.0000 0.2592 0.3357 1
Se2 Se 0.0000 0.5000 0.0000 1
S1 S 0.0000 0.0000 0.0000 1
```

Results
Raw formation energy (kJ per mole of atoms): -178.24